No. 1
The following is a DFT calculation (PBE) of an optimized crystal structure of Mg4InFe.

The energy is -0.105 hartree per atom. As for the calculated formation energy: 1.466 kcal/mol of atoms. For the total magnetization, the calculation gives 2.163 μB per formula unit.

It has space group P-1 (No. 2), with a = 4.9549 Å, b = 7.3917 Å, c = 8.2047 Å, α = 116.74°, β = 107.44° and γ = 90.02°. The asymmetric unit holds Mg at (0.0000, 0.1963, 0.0009), Mg at (0.1743, 0.6754, 0.3497), Mg at (0.3709, 0.1212, 0.7423), Mg at (0.3708, 0.6199, 0.7409), In at (0.1905, 0.1891, 0.3799) and Fe at (0.2696, 0.4998, 0.9997).

***

No. 2
The following is a DFT calculation (PBE) of an optimized crystal structure of MgInFe.

The energy is -0.149 hartree per atom. As for the calculated formation energy: 4.678 kcal/mol of atoms. For the total magnetization, the calculation gives 2.381 μB per formula unit.

It has space group I4mm (No. 107), with a = 2.9474 Å, b = 2.9474 Å, c = 12.5802 Å, α = 90.00°, β = 90.00° and γ = 90.00°. The asymmetric unit holds Mg at (0.0000, 0.0000, 0.0000), In at (0.0000, 0.0000, 0.3009) and Fe at (0.0000, 0.0000, 0.6462).

***

No. 3
The following is a DFT calculation (PBE) of an optimized crystal structure of MgIn2Fe.

The energy is -0.129 hartree per atom. As for the calculated formation energy: 8.584 kcal/mol of atoms. For the total magnetization, the calculation gives 2.380 μB per formula unit.

It has space group F-43m (No. 216), with a = 6.8568 Å, b = 6.8568 Å, c = 6.8568 Å, α = 90.00°, β = 90.00° and γ = 90.00°. The asymmetric unit holds Mg at (0.0000, 0.0000, 0.0000), In at (0.0000, 0.0000, 0.5000), In at (0.2500, 0.2500, 0.2500) and Fe at (0.2500, 0.2500, 0.7500).

***

No. 4
The following is a DFT calculation (PBE) of an optimized crystal structure of MgInFe4.

The energy is -0.230 hartree per atom. As for the calculated formation energy: 2.165 kcal/mol of atoms. For the total magnetization, the calculation gives 8.969 μB per formula unit.

It has space group F-43m (No. 216), with a = 7.0077 Å, b = 7.0077 Å, c = 7.0077 Å, α = 90.00°, β = 90.00° and γ = 90.00°. The asymmetric unit holds Mg at (0.0000, 0.0000, 0.0000), In at (0.2500, 0.2500, 0.2500) and Fe at (0.1255, 0.1255, 0.6255).

***

No. 5
The following is a DFT calculation (PBE) of an optimized crystal structure of MgInFe.

The energy is -0.153 hartree per atom. As for the calculated formation energy: 2.297 kcal/mol of atoms. For the total magnetization, the calculation gives 1.832 μB per formula unit.

It has space group Fddd (No. 70, origin choice 2), with a = 5.2529 Å, b = 9.0759 Å, c = 18.6181 Å, α = 90.00°, β = 90.00° and γ = 90.00°. The asymmetric unit holds Mg at (0.1250, 0.2869, 0.1250), In at (0.1250, 0.1250, 0.5386) and Fe at (0.1250, 0.1250, 0.2530).

***

No. 6
The following is a DFT calculation (PBE) of an optimized crystal structure of Mg2InFe.

The energy is -0.127 hartree per atom. As for the calculated formation energy: 3.071 kcal/mol of atoms. For the total magnetization, the calculation gives 2.473 μB per formula unit.

It has space group P4/mmm (No. 123), with a = 4.1752 Å, b = 4.1752 Å, c = 4.2595 Å, α = 90.00°, β = 90.00° and γ = 90.00°. The asymmetric unit holds Mg at (0.0000, 0.5000, 0.0000), In at (0.0000, 0.0000, 0.5000) and Fe at (0.5000, 0.5000, 0.5000).